Fe2IrAu (GGA-PBE, relaxed); V = 56.91 Å³ per cell; calculated density = 14.62 g/cm³; formation energy = 132.6 meV per atom
1.0
4.5357 -1.3959 0.0000
4.5357 1.3959 0.0000
-1.1592 0.0000 4.4942
Fe Ir Au
2 1 1
direct
0.0000 0.0000 0.0000
0.7304 0.7304 0.2689
0.2527 0.2527 0.7989
0.4869 0.4869 0.4928

***

Fe2IrAu (GGA-PBE, relaxed); V = 58.25 Å³ per cell; calculated density = 14.28 g/cm³; formation energy = 209.6 meV per atom
1.0
1.4414 -2.2765 0.0000
1.4414 2.2765 0.0000
0.0000 0.0000 8.8759
Fe Ir Au
2 1 1
direct
0.0000 0.0000 0.0000
0.5000 0.5000 0.2191
0.5000 0.5000 0.7645
0.0000 0.0000 0.4775

***

Fe2IrAu (GGA-PBE, relaxed); V = 57.78 Å³ per cell; calculated density = 14.39 g/cm³; formation energy = 200.6 meV per atom
1.0
4.4365 -1.4023 0.0000
4.4365 1.4023 0.0000
-0.8766 0.0000 4.6436
Fe Ir Au
2 1 1
direct
0.2469 0.2469 0.2352
0.7531 0.7531 0.7648
0.5000 0.5000 0.0000
0.0000 0.0000 0.5000

***

Fe2Ir2Au (GGA-PBE, relaxed); V = 141.39 Å³ per cell; calculated density = 16.28 g/cm³; formation energy = 307.2 meV per atom
1.0
7.2787 0.0000 0.0000
0.0000 7.2787 0.0000
0.0000 0.0000 2.6687
Fe Ir Au
4 4 2
direct
0.1660 0.3340 0.0000
0.3340 0.8340 0.0000
0.6660 0.1660 0.0000
0.8340 0.6660 0.0000
0.1280 0.6280 0.5000
0.3720 0.1280 0.5000
0.6280 0.8720 0.5000
0.8720 0.3720 0.5000
0.0000 0.0000 0.5000
0.5000 0.5000 0.5000

***

FeIr2Au2 (GGA-PBE, relaxed); V = 171.43 Å³ per cell; calculated density = 16.16 g/cm³; formation energy = 706.6 meV per atom
1.0
7.6227 0.0000 0.0000
0.0000 7.6227 0.0000
0.0000 0.0000 2.9504
Fe Ir Au
2 4 4
direct
0.0000 0.0000 0.0000
0.5000 0.5000 0.0000
0.1237 0.3763 0.5000
0.3763 0.8763 0.5000
0.6237 0.1237 0.5000
0.8763 0.6237 0.5000
0.1751 0.6751 0.0000
0.3249 0.1751 0.0000
0.6751 0.8249 0.0000
0.8249 0.3249 0.0000

***

FeIrAu3 (GGA-PBE, relaxed); V = 126.38 Å³ per cell; calculated density = 11.02 g/cm³; formation energy = 1420.4 meV per atom
1.0
5.0183 0.0000 0.0000
0.0000 5.0183 0.0000
0.0000 0.0000 5.0183
Fe Ir Au
1 1 3
direct
0.0000 0.0000 0.0000
0.5000 0.5000 0.5000
0.0000 0.5000 0.5000
0.5000 0.0000 0.5000
0.5000 0.5000 0.0000

***

> Among the records above, which one has the lowest calculated density?

FeIrAu3

***

> Among the records above, which one has the highest formation energy?

FeIrAu3